Below is a relaxed structure of Ce2Os3Ru, with properties calculated at the GGA-PBE level.

Cell: 9.160 5.306 5.482 Å, 90.00 123.91 90.00°
Positions (direct):
Ce  0.125  0.000  0.374
Ce  0.375  0.500  0.626
Ce  0.625  0.500  0.374
Ce  0.875  0.000  0.626
Os  0.000  0.500  0.000
Os  0.250  0.250  0.000
Os  0.250  0.750  0.000
Os  0.500  0.000  0.000
Os  0.750  0.250  0.000
Os  0.750  0.750  0.000
Ru  0.000  0.500  0.500
Ru  0.500  0.000  0.500

Calculated formation energy in eV per atom: -0.25
Calculated volume in Å³/atom: 18.4
DOS at the Fermi energy in states/eV/f.u.: 5.907